(1)
Density functional theory data (PBE) for a relaxed structure of DyTm5Bi5.

Output
Fermi-level density of states, states/eV/cell: 4.3
Symmetry: No. 12
Volume, A^3/atom: 32.36
E_form, eV per atom: -0.5920

a = 6.2144 Å, b = 7.5571 Å, c = 8.7615 Å
α = 106.70°, β = 90.00°, γ = 114.28°
Positions (direct):
Dy  0.0000  0.0000  0.0000
Tm  0.6618  0.3236  0.3368
Tm  0.6633  0.3266  0.8272
Tm  0.0000  0.0000  0.5000
Tm  0.3367  0.6734  0.1728
Tm  0.3382  0.6764  0.6632
Bi  0.8289  0.6578  0.1690
Bi  0.8325  0.6649  0.6627
Bi  0.5000  0.0000  0.0000
Bi  0.1675  0.3351  0.3373
Bi  0.1711  0.3422  0.8310

(2)
Density functional theory data (PBE) for a relaxed structure of Bi2As2Pt.

Output
Fermi-level density of states, states/eV/cell: 3.8
Symmetry: No. 127
Volume, A^3/atom: 25.17
E_form, eV per atom: -0.0850

a = 6.4000 Å, b = 6.4000 Å, c = 6.1458 Å
α = 90.00°, β = 90.00°, γ = 90.00°
Positions (direct):
As  0.3598  0.8598  0.0000
As  0.8598  0.6402  0.0000
As  0.6402  0.1402  0.0000
As  0.1402  0.3598  0.0000
Bi  0.3116  0.8116  0.5000
Bi  0.8116  0.6884  0.5000
Bi  0.6884  0.1884  0.5000
Bi  0.1884  0.3116  0.5000
Pt  0.0000  0.0000  0.0000
Pt  0.5000  0.5000  0.0000